The following is a PBE calculation of a relaxed LiCuPb2 crystal, from Alexandria via LeMat-Bulk.

space-group type: Cmmm (65)

a = 3.5445 Å, b = 3.5445 Å, c = 7.1527 Å
α = 90.00°, β = 90.00°, γ = 97.45°
Last column: nearest neighbours and their distance in Å.
Positions (direct):
Li 0.5000 0.5000 0.7500  8 Pb 3.03-3.29
Cu 0.5000 0.5000 0.2500  8 Pb 2.86-3.14
Pb 0.0000 0.0000 0.4812  4 Cu 2.86-3.14, 2 Li 3.03
Pb 0.0000 0.0000 0.0188  4 Cu 2.86-3.14, 2 Li 3.03

The following is a PBE calculation of a relaxed LiCuPb2 crystal, from Alexandria via LeMat-Bulk.

space-group type: I-4m2 (119)

a = 5.8264 Å, b = 5.8264 Å, c = 5.8264 Å
α = 137.75°, β = 137.75°, γ = 61.29°
Last column: nearest neighbours and their distance in Å.
Positions (direct):
Pb 0.0000 0.0000 0.0000  4 Cu 2.97, 4 Pb 3.27, 4 Li 3.27
Pb 0.2500 0.7500 0.5000  4 Li 2.97, 4 Cu 3.27, 4 Pb 3.27
Cu 0.5000 0.5000 0.0000  8 Pb 2.97-3.27, 4 Li 3.27
Li 0.7500 0.2500 0.5000  8 Pb 2.97-3.27, 4 Cu 3.27

The following is a PBE calculation of a relaxed Li2CuPb2 crystal, from Alexandria via LeMat-Bulk.

space-group type: P4/mbm (127)

a = 6.8427 Å, b = 6.8427 Å, c = 4.3118 Å
α = 90.00°, β = 90.00°, γ = 90.00°
Last column: nearest neighbours and their distance in Å.
Positions (direct):
Li 0.8590 0.6410 0.0000  2 Cu 2.64, 1 Li 2.73, 2 Pb 2.81
Li 0.1410 0.3590 0.0000  2 Cu 2.64, 1 Li 2.73, 2 Pb 2.81
Li 0.6410 0.1410 0.0000  2 Cu 2.64, 1 Li 2.73, 2 Pb 2.81
Li 0.3590 0.8590 0.0000  2 Cu 2.64, 1 Li 2.73, 2 Pb 2.81
Pb 0.6731 0.8269 0.5000  6 Li 2.81-3.05
Pb 0.3269 0.1731 0.5000  6 Li 2.81-3.05
Pb 0.8269 0.3269 0.5000  6 Li 2.81-3.05
Pb 0.1731 0.6731 0.5000  6 Li 2.81-3.05
Cu 0.0000 0.0000 0.0000  4 Li 2.64
Cu 0.5000 0.5000 0.0000  4 Li 2.64

The following is a PBE calculation of a relaxed Li3CuPb crystal, from Alexandria via LeMat-Bulk.

space-group type: Pm-3m (221)

a = 5.1341 Å, b = 5.1341 Å, c = 5.1341 Å
α = 90.00°, β = 90.00°, γ = 90.00°
Last column: nearest neighbours and their distance in Å.
Positions (direct):
Li 0.5000 0.0000 0.0000  2 Pb 2.57
Li 0.0000 0.0000 0.5000  2 Pb 2.57
Li 0.0000 0.5000 0.0000  2 Pb 2.57
Pb 0.0000 0.0000 0.0000  6 Li 2.57
Cu 0.5000 0.5000 0.5000  12 Li 3.63

no.,ΔH_f (0 K) (eV per atom),magnetic moment (μB per formula unit)
1,0.01,0.0
2,0.05,0.0
3,-0.01,0.0
4,0.49,0.1